No. 1
A plane-wave DFT calculation with PBE was carried out for crystalline BaMn2Os at its relaxed geometry.

The value obtained for the calculated density is 8.888 g/cm3. Its energy of formation from the pure elements is 601 meV/atom. The calculation puts the total energy at -29.1 eV for the cell shown. Its energy above the most stable polymorph in this dataset is 182.0 meV/atom. The calculation puts the volume at 81.73 Å³/cell.

The structure belongs to space group P4/mmm (No. 123); the cell edges are 3.187, 3.187 and 8.047 Å and the angles 90.00°, 90.00° and 90.00°. The inequivalent atoms are Ba at (0.000, 0.000, 0.000), Mn at (0.500, 0.500, 0.334) and Os at (0.000, 0.000, 0.500).


No. 2
A plane-wave DFT calculation with PBE was carried out for crystalline LaPm2Tm6 at its relaxed geometry.

The value obtained for the calculated density is 8.292 g/cm3. Its energy of formation from the pure elements is 100 meV/atom. The calculation puts the total energy at -161.4 eV for the cell shown. Its energy above the most stable polymorph in this dataset is 26.0 meV/atom. The calculation puts the volume at 1155.48 Å³/cell.

The structure belongs to space group C2/c (No. 15); the cell edges are 12.836, 14.033 and 6.568 Å and the angles 90.00°, 102.40° and 90.00°. The inequivalent atoms are La at (0.000, 0.122, 0.250), Pm at (0.142, 0.472, 0.372), Tm at (0.033, 0.312, 0.999), Tm at (0.134, 0.086, 0.820) and Tm at (0.240, 0.297, 0.736).


No. 3
A plane-wave DFT calculation with PBE was carried out for crystalline Ba2Ga3Pt4Pb at its relaxed geometry.

The value obtained for the calculated density is 10.679 g/cm3. Its energy of formation from the pure elements is -716 meV/atom. The calculation puts the total energy at -48.0 eV for the cell shown. The calculation puts the volume at 228.80 Å³/cell.

The structure belongs to space group P-4m2 (No. 115); the cell edges are 4.655, 4.655 and 10.557 Å and the angles 90.00°, 90.00° and 90.00°. The inequivalent atoms are Ba at (0.000, 0.500, 0.237), Ga at (0.000, 0.500, 0.889), Ga at (0.500, 0.500, 0.500), Pt at (0.000, 0.000, 0.000), Pt at (0.000, 0.500, 0.644), Pt at (0.500, 0.500, 0.000) and Pb at (0.000, 0.000, 0.500).


No. 4
A plane-wave DFT calculation with PBE was carried out for crystalline CdAsS2 at its relaxed geometry.

The value obtained for the calculated density is 5.635 g/cm3. The calculation puts the total energy at -51.0 eV for the cell shown. Its energy above the most stable polymorph in this dataset is 426.1 meV/atom. The formation energy (no corrections) is 269 meV/atom. The calculation puts the volume at 296.39 Å³/cell.

The structure belongs to space group Fm-3m (No. 225); the cell edges are 6.667, 6.667 and 6.667 Å and the angles 90.00°, 90.00° and 90.00°. The inequivalent atoms are Cd at (0.000, 0.000, 0.000), As at (0.000, 0.000, 0.500) and S at (0.250, 0.250, 0.250).


No. 5
A plane-wave DFT calculation with PBE was carried out for crystalline TbHoH2 at its relaxed geometry.

The value obtained for the calculated density is 9.127 g/cm3. The calculation puts the total energy at -52.1 eV for the cell shown. Its energy above the most stable polymorph in this dataset is 0.0 meV/atom. The calculation puts the volume at 177.86 Å³/cell.

The structure belongs to space group R-3m (No. 166, hexagonal axes); the cell edges are 3.4785, 3.4785 and 16.9736 Å and the angles 90.00°, 90.00° and 120.00°. The inequivalent atoms are Tb at (0.0000, 0.0000, 0.0000), Ho at (0.0000, 0.0000, 0.5000) and H at (0.0000, 0.0000, 0.2488).


No. 6
A plane-wave DFT calculation with PBE was carried out for crystalline Sm7FeCl12 at its relaxed geometry.

The value obtained for the calculated density is 4.064 g/cm3. The calculation puts the total energy at -302.2 eV for the cell shown. The formation energy (no corrections) is -1854 meV/atom. The calculation puts the volume at 1880.22 Å³/cell.

The structure belongs to space group R-3 (No. 148, hexagonal axes); the cell edges are 14.5265, 14.5265 and 10.2886 Å and the angles 90.00°, 90.00° and 120.00°. The inequivalent atoms are Sm at (0.0000, 0.0000, 0.0000), Sm at (0.0375, 0.1657, 0.3561), Fe at (0.0000, 0.0000, 0.5000), Cl at (0.0243, 0.5799, 0.1561) and Cl at (0.0397, 0.1631, 0.8357).


No. 7
A plane-wave DFT calculation with PBE was carried out for crystalline HfZr2ScH at its relaxed geometry.

The value obtained for the calculated density is 7.244 g/cm3. The calculation puts the total energy at -37.2 eV for the cell shown. Its energy above the most stable polymorph in this dataset is 9.8 meV/atom. The calculation puts the volume at 93.27 Å³/cell.

The structure belongs to space group P4/mmm (No. 123); the cell edges are 4.541, 4.541 and 4.524 Å and the angles 90.00°, 90.00° and 90.00°. The inequivalent atoms are Hf at (0.000, 0.000, 0.000), Zr at (0.000, 0.500, 0.500), Sc at (0.500, 0.500, 0.000) and H at (0.000, 0.000, 0.500).


No. 8
A plane-wave DFT calculation with PBE was carried out for crystalline Ag4PtAu2 at its relaxed geometry.

The value obtained for the calculated density is 12.928 g/cm3. Its energy of formation from the pure elements is 51 meV/atom. The calculation puts the total energy at -47.3 eV for the cell shown. Its energy above the most stable polymorph in this dataset is 0.0 meV/atom. The calculation puts the volume at 262.16 Å³/cell.

The structure belongs to space group Cmmm (No. 65); the cell edges are 2.905, 21.944 and 4.112 Å and the angles 90.00°, 90.00° and 90.00°. The inequivalent atoms are Ag at (0.000, 0.064, 0.000), Ag at (0.000, 0.368, 0.500), Pt at (0.000, 0.500, 0.500) and Au at (0.000, 0.196, 0.000).